Arrangement one

Entry from the Alexandria database: a relaxed NaPaN2 crystal (PBE).

- Magnetization: 0.00 Bohr magnetons per cell
- Symmetry: R-3m (166)
- Density of states at the Fermi level: 0.000 states/eV/atom

Lattice parameters (Å, degrees): 6.049 6.049 6.049 34.49 34.49 34.49
Atoms (fractional coordinates):
Na: 0.000 0.000 0.000
Pa: 0.500 0.500 0.500
N: 0.227 0.227 0.227
N: 0.773 0.773 0.773

Arrangement two

Entry from the Alexandria database: a relaxed NaPaN2 crystal (PBE).

- Magnetization: 0.00 Bohr magnetons per cell
- Symmetry: R3m (160)
- Density of states at the Fermi level: 0.000 states/eV/atom

Lattice parameters (Å, degrees): 6.355 6.355 6.355 32.66 32.66 32.66
Atoms (fractional coordinates):
Na: 0.000 0.000 0.000
Pa: 0.178 0.178 0.178
N: 0.571 0.571 0.571
N: 0.789 0.789 0.789

The data favor arrangement one; the next most stable structure lies 7.6 kJ/mol of atoms above it.

Arrangement one

Entry from the Alexandria database: a relaxed NaPb3N crystal (PBE).

- Magnetization: 0.00 Bohr magnetons per cell
- Symmetry: Pm-3m (221)
- Density of states at the Fermi level: 1.143 states/eV/atom

Lattice parameters (Å, degrees): 5.421 5.421 5.421 90.00 90.00 90.00
Atoms (fractional coordinates):
Na: 0.000 0.000 0.000
Pb: 0.000 0.000 0.500
Pb: 0.000 0.500 0.000
Pb: 0.500 0.000 0.000
N: 0.500 0.500 0.500

Arrangement two

Entry from the Alexandria database: a relaxed NaPb3N crystal (PBE).

- Magnetization: 0.40 Bohr magnetons per cell
- Symmetry: Pm-3m (221)
- Density of states at the Fermi level: 0.634 states/eV/atom

Lattice parameters (Å, degrees): 5.132 5.132 5.132 90.00 90.00 90.00
Atoms (fractional coordinates):
Na: 0.000 0.000 0.000
Pb: 0.000 0.500 0.500
Pb: 0.500 0.000 0.500
Pb: 0.500 0.500 0.000
N: 0.500 0.500 0.500

The data favor arrangement two; the next most stable structure lies 115.4 kJ/mol of atoms above it.